! LaTmCdGe | Alexandria | PBE | optimized geometry; values from VASP
! Energy relative to the elements: -0.472 eV per atom
! DOS at the Fermi energy: 10.2 states/eV/cell
&SYSTEM
  ibrav = 0, nat = 16, ntyp = 4
/
ATOMIC_SPECIES
La 138.91 La.upf
Tm 168.93 Tm.upf
Cd 112.41 Cd.upf
Ge 72.64 Ge.upf
ATOMIC_POSITIONS angstrom
La 0.0000 0.0000 0.0000
La 0.0000 3.7126 3.7126
La 3.7126 0.0000 3.7126
La 3.7126 3.7126 0.0000
Tm 0.0000 0.0000 3.7126
Tm 0.0000 3.7126 0.0000
Tm 3.7126 0.0000 0.0000
Tm 3.7126 3.7126 3.7126
Cd 1.8563 1.8563 1.8563
Cd 1.8563 5.5690 5.5690
Cd 5.5690 1.8563 5.5690
Cd 5.5690 5.5690 1.8563
Ge 1.8563 1.8563 5.5690
Ge 1.8563 5.5690 1.8563
Ge 5.5690 1.8563 1.8563
Ge 5.5690 5.5690 5.5690
CELL_PARAMETERS angstrom
7.4253 0.0000 0.0000
0.0000 7.4253 0.0000
0.0000 0.0000 7.4253